Entry from Alexandria: a geometry-optimized Na2SrTlPt structure (PBE).

Lattice parameters (Å, degrees): 5.4891 5.4891 5.7575 90.00 90.00 90.00
With the nearest neighbours (Å) after each atom.
Atoms (fractional coordinates):
Na: 0.0000 0.5000 0.0000  2 Pt 2.74
Na: 0.5000 0.0000 0.0000  2 Pt 2.74
Sr: 0.0000 0.0000 0.5000  2 Pt 2.88
Tl: 0.5000 0.5000 0.5000  4 Sr 3.88, 8 Na 3.98
Pt: 0.0000 0.0000 0.0000  4 Na 2.74, 2 Sr 2.88

Summary:
Its mass density is 5.10 g/cm3. The value obtained for the calculated formation energy is -119 meV per atom. Its crystal system is tetragonal.